(1)
Material: CsLi2Tl2
Method: DFT, PBE
State: optimized geometry

Properties
**N(E_F)**: 4.384 states/eV per cell
**Total magnetization**: 0.00 μB per cell
**ΔE_f**: -54.2 meV per atom

Unit cell a=9.179 b=9.179 c=3.528 alpha=90.00 beta=90.00 gamma=90.00
Positions (direct):
Cs 0.000 0.000 0.000
Cs 0.500 0.500 0.000
Tl 0.124 0.624 0.500
Tl 0.624 0.876 0.500
Tl 0.876 0.376 0.500
Tl 0.376 0.124 0.500
Li 0.347 0.847 0.000
Li 0.847 0.653 0.000
Li 0.653 0.153 0.000
Li 0.153 0.347 0.000

***

(2)
Material: CaRu2RhCl
Method: DFT, PBE
State: optimized geometry

Properties
**N(E_F)**: 6.485 states/eV per cell
**Total magnetization**: 0.12 μB per cell
**ΔE_f (raw)**: 0.56 eV per atom

Unit cell a=4.426 b=4.550 c=4.426 alpha=90.00 beta=90.00 gamma=90.00
Positions (direct):
Ru 0.000 0.000 0.500
Ru 0.500 0.000 0.000
Ca 0.500 0.500 0.500
Rh 0.000 0.500 0.000
Cl 0.000 0.000 0.000

***

(3)
Material: Y6Co2Rh
Method: DFT, PBE
State: optimized geometry

Properties
**N(E_F)**: 18.406 states/eV per cell
**Total magnetization**: 0.00 μB per cell
**ΔE_f**: -305.7 meV per atom

Unit cell a=8.210 b=8.210 c=8.210 alpha=108.49 beta=110.48 gamma=109.46
Positions (direct):
Y 0.558 0.734 0.823
Y 0.442 0.266 0.177
Y 0.089 0.266 0.823
Y 0.911 0.734 0.177
Y 0.814 0.746 0.560
Y 0.186 0.254 0.440
Y 0.186 0.746 0.932
Y 0.814 0.254 0.068
Y 0.685 0.358 0.673
Y 0.315 0.642 0.327
Y 0.315 0.989 0.673
Y 0.685 0.011 0.327
Co 0.500 0.387 0.887
Co 0.500 0.613 0.113
Co 0.665 0.000 0.665
Co 0.335 0.000 0.335
Rh 0.000 0.500 0.500
Rh 0.000 0.000 0.000

***

(4)
Material: Tl5In4Pb
Method: DFT, PBE
State: optimized geometry

Properties
**N(E_F)**: 6.583 states/eV per cell
**Total magnetization**: 0.00 μB per cell
**ΔE_f**: 93.9 meV per atom

Unit cell a=6.712 b=7.602 c=7.602 alpha=78.76 beta=63.80 gamma=63.80
Positions (direct):
Tl 0.877 0.386 0.759
Tl 0.263 0.759 0.614
Tl 0.635 0.241 0.386
Tl 0.022 0.614 0.241
Tl 0.718 0.000 0.000
In 0.347 0.362 0.848
In 0.709 0.848 0.638
In 0.195 0.152 0.362
In 0.557 0.638 0.152
Pb 0.188 0.000 0.000

***

(5)
Material: Pm2NdPb3
Method: DFT, PBE
State: optimized geometry

Properties
**N(E_F)**: 6.990 states/eV per cell
**Total magnetization**: 0.00 μB per cell
**ΔE_f**: -506.6 meV per atom

Unit cell a=3.605 b=3.605 c=13.786 alpha=90.00 beta=90.00 gamma=90.00
Positions (direct):
Pm 0.500 0.500 0.834
Pm 0.500 0.500 0.166
Nd 0.500 0.500 0.500
Pb 0.000 0.000 0.000
Pb 0.000 0.000 0.668
Pb 0.000 0.000 0.332

***

(6)
Material: KCrMo2
Method: DFT, PBE
State: optimized geometry

Properties
**N(E_F)**: 4.596 states/eV per cell
**Total magnetization**: 0.01 μB per cell
**ΔE_f**: 1060.6 meV per atom

Unit cell a=8.013 b=8.013 c=8.013 alpha=158.24 beta=149.00 gamma=38.20
Positions (direct):
Cr 0.481 0.481 0.000
K 0.687 0.187 0.500
Mo 0.965 0.965 0.000
Mo 0.367 0.867 0.500